# Pa2Cr2Ge2C

Crystalline Pa2Cr2Ge2C at its relaxed geometry (PBE, Alexandria).

a = 4.0297 Å, b = 4.0297 Å, c = 7.7723 Å
α = 105.02°, β = 105.02°, γ = 90.00°
With the nearest neighbours (Å) after each atom.
Element x y z (fractional)
Pa (0.1665, 0.1665, 0.3329)  1 C 2.41
Pa (0.8335, 0.8335, 0.6671)  1 C 2.41
Cr (0.0000, 0.5000, 0.0000)  2 C 2.01
Cr (0.5000, 0.0000, 0.0000)  2 C 2.01
Ge (0.3841, 0.3841, 0.7683)  4 Cr 2.62
Ge (0.6159, 0.6159, 0.2317)  4 Cr 2.62
C (0.0000, 0.0000, 0.0000)  4 Cr 2.01

Calculated volume in Å³ per cell: 117.4
Raw total energy in eV/atom: -8.461
Spin magnetization in μB/cell: 0.00
Symmetry: I4/mmm (139)